# 1
Ba4ZnRh: relaxed, PBE-GGA.

CIF file:
```
data_Ba4ZnRh
_cell_length_a 6.9383
_cell_length_b 6.9383
_cell_length_c 6.9383
_cell_angle_alpha 60.00
_cell_angle_beta 60.00
_cell_angle_gamma 60.00
_space_group_name_H-M_alt 'P 1'
_space_group_IT_number 1
loop_
_space_group_symop_operation_xyz
'x,y,z'
loop_
_atom_site_label
_atom_site_type_symbol
_atom_site_fract_x
_atom_site_fract_y
_atom_site_fract_z
Ba1 Ba 0.1242 0.1242 0.1242
Ba2 Ba 0.1242 0.1242 0.6273
Ba3 Ba 0.1242 0.6273 0.1242
Ba4 Ba 0.6273 0.1242 0.1242
Zn1 Zn 0.5000 0.5000 0.5000
Rh1 Rh 0.7500 0.7500 0.7500
```

Computed properties:
ρ = 5.0 g cm⁻³
energy relative to the elements = 0.796 eV/atom
space group = F-43m, No. 216



# 2
ReS2Br: relaxed, PBE-GGA.

CIF file:
```
data_ReS2Br
_cell_length_a 6.6482
_cell_length_b 6.6482
_cell_length_c 6.6482
_cell_angle_alpha 120.92
_cell_angle_beta 120.92
_cell_angle_gamma 88.41
_space_group_name_H-M_alt 'P 1'
_space_group_IT_number 1
loop_
_space_group_symop_operation_xyz
'x,y,z'
loop_
_atom_site_label
_atom_site_type_symbol
_atom_site_fract_x
_atom_site_fract_y
_atom_site_fract_z
Re1 Re 0.0000 0.0000 0.0000
Re2 Re 0.7500 0.2500 0.5000
S1 S 0.0099 0.6250 0.8849
S2 S 0.3750 0.2599 0.3849
S3 S 0.7401 0.1250 0.1151
S4 S 0.8750 0.9901 0.6151
Br1 Br 0.2500 0.7500 0.5000
Br2 Br 0.5000 0.5000 0.0000
```

Computed properties:
ρ = 5.4 g cm⁻³
ΔE_f (raw) = 0.4 eV/f.u.
space group = I-42d, No. 122



# 3
Pm3YEr2Bi6: relaxed, PBE-GGA.

CIF file:
```
data_Pm3YEr2Bi6
_cell_length_a 10.1012
_cell_length_b 10.1012
_cell_length_c 9.0357
_cell_angle_alpha 102.78
_cell_angle_beta 102.78
_cell_angle_gamma 25.87
_space_group_name_H-M_alt 'P 1'
_space_group_IT_number 1
loop_
_space_group_symop_operation_xyz
'x,y,z'
loop_
_atom_site_label
_atom_site_type_symbol
_atom_site_fract_x
_atom_site_fract_y
_atom_site_fract_z
Pm1 Pm 0.0000 0.0000 0.0000
Pm2 Pm 0.3338 0.3338 0.6670
Pm3 Pm 0.6662 0.6662 0.3330
Y1 Y 0.0000 0.0000 0.5000
Er1 Er 0.3332 0.3332 0.1668
Er2 Er 0.6667 0.6667 0.8332
Bi1 Bi 0.1655 0.1655 0.5887
Bi2 Bi 0.1687 0.1687 0.0782
Bi3 Bi 0.4978 0.4978 0.2530
Bi4 Bi 0.5022 0.5022 0.7470
Bi5 Bi 0.8313 0.8313 0.9218
Bi6 Bi 0.8345 0.8345 0.4113
```

Computed properties:
ρ = 9.0 g cm⁻³
energy relative to the elements = -0.889 eV/atom
space group = C2/m, No. 12



# 4
Ce4TcAu3: relaxed, PBE-GGA.

CIF file:
```
data_Ce4TcAu3
_cell_length_a 3.5216
_cell_length_b 3.5216
_cell_length_c 15.3518
_cell_angle_alpha 90.00
_cell_angle_beta 90.00
_cell_angle_gamma 90.00
_space_group_name_H-M_alt 'P 1'
_space_group_IT_number 1
loop_
_space_group_symop_operation_xyz
'x,y,z'
loop_
_atom_site_label
_atom_site_type_symbol
_atom_site_fract_x
_atom_site_fract_y
_atom_site_fract_z
Ce1 Ce 0.0000 0.0000 0.1095
Ce2 Ce 0.0000 0.0000 0.3707
Ce3 Ce 0.0000 0.0000 0.6293
Ce4 Ce 0.0000 0.0000 0.8905
Tc1 Tc 0.5000 0.5000 0.0000
Au1 Au 0.5000 0.5000 0.2409
Au2 Au 0.5000 0.5000 0.5000
Au3 Au 0.5000 0.5000 0.7591
```

Computed properties:
ρ = 10.9 g cm⁻³
energy relative to the elements = -0.453 eV/atom
space group = P4/mmm, No. 123



# 5
CaBiB2Au: relaxed, PBE-GGA.

CIF file:
```
data_CaBiB2Au
_cell_length_a 4.7837
_cell_length_b 4.7837
_cell_length_c 5.5297
_cell_angle_alpha 90.00
_cell_angle_beta 90.00
_cell_angle_gamma 90.00
_space_group_name_H-M_alt 'P 1'
_space_group_IT_number 1
loop_
_space_group_symop_operation_xyz
'x,y,z'
loop_
_atom_site_label
_atom_site_type_symbol
_atom_site_fract_x
_atom_site_fract_y
_atom_site_fract_z
Ca1 Ca 0.0000 0.0000 0.0000
Bi1 Bi 0.5000 0.5000 0.5000
B1 B 0.0000 0.5000 0.5000
B2 B 0.5000 0.0000 0.5000
Au1 Au 0.5000 0.5000 0.0000
```

Computed properties:
ρ = 6.1 g cm⁻³
energy relative to the elements = 1.294 eV/atom
space group = P4/mmm, No. 123



# 6
CaLa2Zn6: relaxed, PBE-GGA.

CIF file:
```
data_CaLa2Zn6
_cell_length_a 7.9958
_cell_length_b 7.9958
_cell_length_c 3.6747
_cell_angle_alpha 90.00
_cell_angle_beta 90.00
_cell_angle_gamma 120.00
_space_group_name_H-M_alt 'P 1'
_space_group_IT_number 1
loop_
_space_group_symop_operation_xyz
'x,y,z'
loop_
_atom_site_label
_atom_site_type_symbol
_atom_site_fract_x
_atom_site_fract_y
_atom_site_fract_z
Ca1 Ca 0.0000 0.0000 0.0000
La1 La 0.3333 0.6667 0.0000
La2 La 0.6667 0.3333 0.0000
Zn1 Zn 0.0000 0.3287 0.5000
Zn2 Zn 0.0000 0.6713 0.5000
Zn3 Zn 0.3287 0.0000 0.5000
Zn4 Zn 0.3287 0.3287 0.5000
Zn5 Zn 0.6713 0.0000 0.5000
Zn6 Zn 0.6713 0.6713 0.5000
```

Computed properties:
ρ = 5.8 g cm⁻³
energy relative to the elements = -0.328 eV/atom
space group = P6/mmm, No. 191



# 7
NbCrB: relaxed, PBE-GGA.

CIF file:
```
data_NbCrB
_cell_length_a 3.1483
_cell_length_b 3.1483
_cell_length_c 8.2907
_cell_angle_alpha 92.23
_cell_angle_beta 92.23
_cell_angle_gamma 66.53
_space_group_name_H-M_alt 'P 1'
_space_group_IT_number 1
loop_
_space_group_symop_operation_xyz
'x,y,z'
loop_
_atom_site_label
_atom_site_type_symbol
_atom_site_fract_x
_atom_site_fract_y
_atom_site_fract_z
Nb1 Nb 0.0000 0.0000 0.0000
Nb2 Nb 0.7111 0.7111 0.3135
Cr1 Cr 0.2309 0.2309 0.5495
Cr2 Cr 0.6702 0.6702 0.7188
B1 B 0.3277 0.3277 0.8239
B2 B 0.3536 0.3536 0.1617
```

Computed properties:
ρ = 6.9 g cm⁻³
energy relative to the elements = -0.099 eV/atom
space group = Cm, No. 8



# 8
PmMnGeAu: relaxed, PBE-GGA.

CIF file:
```
data_PmMnGeAu
_cell_length_a 4.9096
_cell_length_b 4.9096
_cell_length_c 4.9096
_cell_angle_alpha 60.00
_cell_angle_beta 60.00
_cell_angle_gamma 60.00
_space_group_name_H-M_alt 'P 1'
_space_group_IT_number 1
loop_
_space_group_symop_operation_xyz
'x,y,z'
loop_
_atom_site_label
_atom_site_type_symbol
_atom_site_fract_x
_atom_site_fract_y
_atom_site_fract_z
Pm1 Pm 0.0000 0.0000 0.0000
Mn1 Mn 0.5000 0.5000 0.5000
Ge1 Ge 0.2500 0.2500 0.2500
Au1 Au 0.7500 0.7500 0.7500
```

Computed properties:
ρ = 9.3 g cm⁻³
energy relative to the elements = -0.308 eV/atom
space group = F-43m, No. 216



# 9
VTcRuPt: relaxed, PBE-GGA.

CIF file:
```
data_VTcRuPt
_cell_length_a 3.8253
_cell_length_b 3.8467
_cell_length_c 3.8739
_cell_angle_alpha 90.00
_cell_angle_beta 90.00
_cell_angle_gamma 90.00
_space_group_name_H-M_alt 'P 1'
_space_group_IT_number 1
loop_
_space_group_symop_operation_xyz
'x,y,z'
loop_
_atom_site_label
_atom_site_type_symbol
_atom_site_fract_x
_atom_site_fract_y
_atom_site_fract_z
V1 V 0.0000 0.0000 0.0000
Tc1 Tc 0.5000 0.0000 0.5000
Ru1 Ru 0.0000 0.5000 0.5000
Pt1 Pt 0.5000 0.5000 0.0000
```

Computed properties:
ρ = 13.0 g cm⁻³
energy relative to the elements = -0.287 eV/atom
space group = Pmmm, No. 47



# 10
Al3Cu5Pd: relaxed, PBE-GGA.

CIF file:
```
data_Al3Cu5Pd
_cell_length_a 7.1949
_cell_length_b 7.1949
_cell_length_c 7.1949
_cell_angle_alpha 119.48
_cell_angle_beta 119.48
_cell_angle_gamma 90.90
_space_group_name_H-M_alt 'P 1'
_space_group_IT_number 1
loop_
_space_group_symop_operation_xyz
'x,y,z'
loop_
_atom_site_label
_atom_site_type_symbol
_atom_site_fract_x
_atom_site_fract_y
_atom_site_fract_z
Al1 Al 0.1152 0.6152 0.7305
Al2 Al 0.2500 0.2500 0.0000
Al3 Al 0.3848 0.1152 0.5000
Al4 Al 0.6152 0.8848 0.5000
Al5 Al 0.7500 0.7500 0.0000
Al6 Al 0.8848 0.3848 0.2695
Cu1 Cu 0.0000 0.0000 0.0000
Cu2 Cu 0.0736 0.1625 0.5000
Cu3 Cu 0.1625 0.6625 0.0889
Cu4 Cu 0.3375 0.4264 0.5000
Cu5 Cu 0.4264 0.9264 0.0889
Cu6 Cu 0.5000 0.5000 0.0000
Cu7 Cu 0.5736 0.0736 0.9111
Cu8 Cu 0.6625 0.5736 0.5000
Cu9 Cu 0.8375 0.3375 0.9111
Cu10 Cu 0.9264 0.8375 0.5000
Pd1 Pd 0.2500 0.7500 0.5000
Pd2 Pd 0.7500 0.2500 0.5000
```

Computed properties:
ρ = 6.3 g cm⁻³
energy relative to the elements = 0.061 eV/atom
space group = I4/mcm, No. 140



# 11
CsNaB: relaxed, PBE-GGA.

CIF file:
```
data_CsNaB
_cell_length_a 4.8398
_cell_length_b 4.8398
_cell_length_c 11.9053
_cell_angle_alpha 100.29
_cell_angle_beta 100.29
_cell_angle_gamma 60.01
_space_group_name_H-M_alt 'P 1'
_space_group_IT_number 1
loop_
_space_group_symop_operation_xyz
'x,y,z'
loop_
_atom_site_label
_atom_site_type_symbol
_atom_site_fract_x
_atom_site_fract_y
_atom_site_fract_z
Cs1 Cs 0.2468 0.2468 0.2741
Cs2 Cs 0.7532 0.7532 0.7259
Na1 Na 0.1545 0.1545 0.9582
Na2 Na 0.8455 0.8455 0.0418
B1 B 0.4807 0.4807 0.9333
B2 B 0.5193 0.5193 0.0667
```

Computed properties:
ρ = 2.3 g cm⁻³
energy relative to the elements = 0.501 eV/atom
space group = C2/m, No. 12



# 12
BeAs3W: relaxed, PBE-GGA.

CIF file:
```
data_BeAs3W
_cell_length_a 4.4255
_cell_length_b 4.4255
_cell_length_c 4.4255
_cell_angle_alpha 90.00
_cell_angle_beta 90.00
_cell_angle_gamma 90.00
_space_group_name_H-M_alt 'P 1'
_space_group_IT_number 1
loop_
_space_group_symop_operation_xyz
'x,y,z'
loop_
_atom_site_label
_atom_site_type_symbol
_atom_site_fract_x
_atom_site_fract_y
_atom_site_fract_z
Be1 Be 0.0000 0.0000 0.0000
As1 As 0.0000 0.0000 0.5000
As2 As 0.0000 0.5000 0.0000
As3 As 0.5000 0.0000 0.0000
W1 W 0.5000 0.5000 0.5000
```

Computed properties:
ρ = 8.0 g cm⁻³
energy relative to the elements = 1.074 eV/atom
space group = Pm-3m, No. 221



> The lowest ρ belongs to which entry?

CsNaB



> Number 5 is which compound?

CaBiB2Au